[1]
The following is a PBE calculation of an optimized crystal structure of NaZnI2N, from the Alexandria database.

a b c (Å): 5.9770 5.9770 4.5837
angles (deg): 90.00 90.00 90.00
Fractional positions:
1 Na 0.0000 0.0000 0.0000
2 Zn 0.5000 0.5000 0.5000
3 I 0.0000 0.5000 0.0000
4 I 0.5000 0.0000 0.0000
5 N 0.0000 0.0000 0.5000

Computed properties:
Uncorrected energy, eV per atom: -2.0226
M_tot, μB/atom: 0.59
Formation energy without anion corrections, meV/atom: 781
Space-group type: P4/mmm, No. 123
Energy above the lowest structure with this stoichiometry, eV/atom: 0.713



[2]
The following is a PBE calculation of an optimized crystal structure of NaZnI2N, from the Alexandria database.

a b c (Å): 5.9449 5.9449 3.9372
angles (deg): 90.00 90.00 90.00
Fractional positions:
1 Na 0.0000 0.0000 0.0000
2 Zn 0.5000 0.5000 0.5000
3 I 0.0000 0.5000 0.5000
4 I 0.5000 0.0000 0.5000
5 N 0.5000 0.5000 0.0000

Computed properties:
Uncorrected energy, eV per atom: -2.7359
M_tot, μB/atom: 0.40
Formation energy without anion corrections, meV/atom: 68
Space-group type: P4/mmm, No. 123
Energy above the lowest structure with this stoichiometry, eV/atom: 0.000



[3]
The following is a PBE calculation of an optimized crystal structure of NaZnIN2, from the Alexandria database.

a b c (Å): 4.5876 4.5876 6.6583
angles (deg): 90.00 90.00 90.00
Fractional positions:
1 Na 0.0000 0.0000 0.0000
2 Zn 0.5000 0.5000 0.5000
3 I 0.0000 0.0000 0.5000
4 N 0.0000 0.5000 0.0000
5 N 0.5000 0.0000 0.0000

Computed properties:
Uncorrected energy, eV per atom: -2.4713
M_tot, μB/atom: 1.00
Formation energy without anion corrections, meV/atom: 1687
Space-group type: P4/mmm, No. 123
Energy above the lowest structure with this stoichiometry, eV/atom: 0.732



[4]
The following is a PBE calculation of an optimized crystal structure of NaZnIN2, from the Alexandria database.

a b c (Å): 4.1871 4.1871 6.2447
angles (deg): 90.00 90.00 90.00
Fractional positions:
1 Na 0.0000 0.0000 0.0000
2 Zn 0.5000 0.5000 0.5000
3 I 0.5000 0.5000 0.0000
4 N 0.0000 0.5000 0.5000
5 N 0.5000 0.0000 0.5000

Computed properties:
Uncorrected energy, eV per atom: -3.2034
M_tot, μB/atom: 0.77
Formation energy without anion corrections, meV/atom: 955
Space-group type: P4/mmm, No. 123
Energy above the lowest structure with this stoichiometry, eV/atom: 0.000